The following is a DFT calculation (PBE) of a geometry-optimized TcSnOs3 structure.

## Properties
Symmetry ... No. 221
Energy above the most stable polymorph in this dataset ... 0.000 eV per atom

Lattice parameters (Å, degrees): 4.7020 4.7020 4.7020 90.00 90.00 90.00
Atoms (fractional coordinates):
Tc  0.0000  0.0000  0.0000
Sn  0.5000  0.5000  0.5000
Os  0.0000  0.0000  0.5000
Os  0.0000  0.5000  0.0000
Os  0.5000  0.0000  0.0000

---

The following is a DFT calculation (PBE) of a geometry-optimized TcSnOs structure.

## Properties
Symmetry ... No. 187

Lattice parameters (Å, degrees): 2.9937 2.9937 12.7790 90.00 90.00 120.00
Atoms (fractional coordinates):
Tc  0.0000  0.0000  0.0000
Tc  0.3333  0.6667  0.5000
Sn  0.0000  0.0000  0.3318
Sn  0.0000  0.0000  0.6682
Os  0.3333  0.6667  0.1595
Os  0.3333  0.6667  0.8405

---

The following is a DFT calculation (PBE) of a geometry-optimized TcSn6Os structure.

## Properties
Symmetry ... No. 12

Lattice parameters (Å, degrees): 6.8111 9.3985 6.7551 90.00 100.82 90.00
Atoms (fractional coordinates):
Tc  0.0000  0.0000  0.0000
Tc  0.5000  0.5000  0.0000
Sn  0.2451  0.0000  0.7446
Sn  0.2448  0.3279  0.7524
Sn  0.2448  0.6721  0.7524
Sn  0.2552  0.1721  0.2476
Sn  0.2549  0.5000  0.2554
Sn  0.2552  0.8279  0.2476
Sn  0.7448  0.1721  0.7524
Sn  0.7451  0.5000  0.7446
Sn  0.7448  0.8279  0.7524
Sn  0.7549  0.0000  0.2554
Sn  0.7552  0.3279  0.2476
Sn  0.7552  0.6721  0.2476
Os  0.0000  0.5000  0.5000
Os  0.5000  0.0000  0.5000

---

no.,energy (eV/f.u.),formation energy (eV per atom)
1,-38.17,1.978
2,-24.47,0.375
3,-43.05,0.321